1.
## Zr2MoOs (PBE)

Data for a relaxed Zr2MoOs crystal.

calculated volume	72.8	Å³ per cell

Cell lengths 2.956, 2.956, 8.871 Å; angles 90.00, 90.00, 110.06 degrees
Fractional coordinates of all 4 atoms:
Zr (0.000, 0.000, 0.243)
Zr (0.000, 0.000, 0.757)
Mo (0.500, 0.500, 0.500)
Os (0.500, 0.500, 0.000)

=====

2.
## TlCuC (PBE)

Data for a relaxed TlCuC crystal.

calculated volume	119.4	Å³ per cell

Cell lengths 4.974, 4.974, 6.355 Å; angles 113.67, 113.67, 58.79 degrees
Fractional coordinates of all 6 atoms:
Tl (0.105, 0.105, 0.314)
Tl (0.895, 0.895, 0.686)
Cu (0.000, 0.500, 0.000)
Cu (0.500, 0.000, 0.000)
C (0.425, 0.425, 0.001)
C (0.575, 0.575, 0.999)

=====

Across the entries above, energy of formation from the pure elements takes the values 11.6; 512.6 meV per atom, respectively.